VASP calculation (PBE) on an optimized crystal structure of Ac2La8Pm3.

Cell: 13.7014 12.2210 6.3837 Å, 90.00 113.40 90.00°
Space group C2/m (No. 12)
Asymmetric unit:
Ac1 0.1968 0.0000 0.3361 x4
La1 0.0768 0.0000 0.7470 x4
La2 0.1450 0.5000 0.0539 x4
La3 0.1674 0.2477 0.6741 x8
Pm1 0.0000 0.2472 0.0000 x4
Pm2 0.0000 0.5000 0.5000 x2

Calculated values
* DFT formation energy: 151 meV per atom
* calculated density: 6.77 g cm⁻³
* total DFT energy (no corrections): -4.61 eV/atom